Run one
## TlSiAs2Br (PBE)

Data for an optimized crystal structure of TlSiAs2Br.

a = 4.7323 Å, b = 4.7323 Å, c = 6.2674 Å
α = 90.00°, β = 90.00°, γ = 90.00°
Last column: nearest neighbours and their distance in Å.
Fractional coordinates of all 5 atoms:
Tl 0.0000 0.0000 0.0000  4 Br 3.35
Si 0.5000 0.5000 0.5000  4 As 2.37
As 0.0000 0.5000 0.5000  2 Si 2.37
As 0.5000 0.0000 0.5000  2 Si 2.37
Br 0.5000 0.5000 0.0000  2 Si 3.13, 4 Tl 3.35

Results
total moment	0.00	μB/f.u.
symmetry	No. 123

---

Run two
## TlSiAs2Br (PBE)

Data for an optimized crystal structure of TlSiAs2Br.

a = 5.3400 Å, b = 5.3400 Å, c = 5.5531 Å
α = 90.00°, β = 90.00°, γ = 90.00°
Last column: nearest neighbours and their distance in Å.
Fractional coordinates of all 5 atoms:
Tl 0.0000 0.0000 0.0000  4 As 2.67, 2 Br 2.78
Si 0.5000 0.5000 0.5000  4 Br 3.78, 8 As 3.85
As 0.0000 0.5000 0.0000  2 Tl 2.67
As 0.5000 0.0000 0.0000  2 Tl 2.67
Br 0.0000 0.0000 0.5000  2 Tl 2.78

Results
total moment	0.77	μB/f.u.
symmetry	No. 123

---

Stability comparison, relative energies in meV per atom: run one 0; run two 883

---

Run one
## SnAs2Br (PBE)

Data for an optimized crystal structure of SnAs2Br.

a = 5.0204 Å, b = 5.0204 Å, c = 5.0204 Å
α = 60.00°, β = 60.00°, γ = 60.00°
Last column: nearest neighbours and their distance in Å.
Fractional coordinates of all 4 atoms:
Sn 0.0000 0.0000 0.0000  8 As 3.07
As 0.2500 0.2500 0.2500  4 Sn 3.07, 4 Br 3.07
As 0.7500 0.7500 0.7500  4 Br 3.07, 4 Sn 3.07
Br 0.5000 0.5000 0.5000  8 As 3.07

Results
total moment	0.00	μB/f.u.
symmetry	No. 225

---

Run two
## SnAs2Br (PBE)

Data for an optimized crystal structure of SnAs2Br.

a = 7.2781 Å, b = 7.2781 Å, c = 7.2781 Å
α = 122.44°, β = 122.44°, γ = 85.83°
Last column: nearest neighbours and their distance in Å.
Fractional coordinates of all 8 atoms:
Sn 0.0000 0.0000 0.0000  4 As 2.71
Sn 0.7500 0.2500 0.5000  4 As 2.71
As 0.0995 0.6250 0.9745  2 Sn 2.71, 2 Br 2.93
As 0.3750 0.3495 0.4745  2 Sn 2.71, 2 Br 2.93
As 0.6505 0.1250 0.0255  2 Sn 2.71, 2 Br 2.93
As 0.8750 0.9005 0.5255  2 Sn 2.71, 2 Br 2.93
Br 0.2500 0.7500 0.5000  4 As 2.93
Br 0.5000 0.5000 0.0000  4 As 2.93

Results
total moment	0.00	μB/f.u.
symmetry	No. 122

---

Stability comparison, relative energies in meV per atom: run one 42; run two 0

---

Run one
## SnAs3Br (PBE)

Data for an optimized crystal structure of SnAs3Br.

a = 5.3098 Å, b = 5.3098 Å, c = 5.3098 Å
α = 90.00°, β = 90.00°, γ = 90.00°
Last column: nearest neighbours and their distance in Å.
Fractional coordinates of all 5 atoms:
Sn 0.0000 0.0000 0.0000  6 As 2.65
As 0.0000 0.0000 0.5000  2 Sn 2.65
As 0.0000 0.5000 0.0000  2 Sn 2.65
As 0.5000 0.0000 0.0000  2 Sn 2.65
Br 0.5000 0.5000 0.5000  12 As 3.75

Results
total moment	0.00	μB/f.u.
symmetry	No. 221

---

Run two
## SnAs3Br (PBE)

Data for an optimized crystal structure of SnAs3Br.

a = 5.1276 Å, b = 5.1276 Å, c = 5.1276 Å
α = 90.00°, β = 90.00°, γ = 90.00°
Last column: nearest neighbours and their distance in Å.
Fractional coordinates of all 5 atoms:
Sn 0.0000 0.0000 0.0000  12 As 3.63
As 0.0000 0.5000 0.5000  2 Br 2.56
As 0.5000 0.0000 0.5000  2 Br 2.56
As 0.5000 0.5000 0.0000  2 Br 2.56
Br 0.5000 0.5000 0.5000  6 As 2.56

Results
total moment	0.00	μB/f.u.
symmetry	No. 221

---

Stability comparison, relative energies in meV per atom: run one 0; run two 75

---

Run one
## Sn2As2Br (PBE)

Data for an optimized crystal structure of Sn2As2Br.

a = 8.2399 Å, b = 8.2399 Å, c = 8.2399 Å
α = 150.36°, β = 150.36°, γ = 42.42°
Last column: nearest neighbours and their distance in Å.
Fractional coordinates of all 5 atoms:
Sn 0.1153 0.1153 0.0000  4 As 2.95
Sn 0.8847 0.8847 0.0000  4 As 2.95
As 0.2500 0.7500 0.5000  4 Sn 2.95, 4 As 2.98
As 0.7500 0.2500 0.5000  4 Sn 2.95, 4 As 2.98
Br 0.5000 0.5000 0.0000  8 Sn 3.47

Results
total moment	0.00	μB/f.u.
symmetry	No. 139

---

Run two
## Sn2As2Br (PBE)

Data for an optimized crystal structure of Sn2As2Br.

a = 8.6097 Å, b = 8.6097 Å, c = 3.7160 Å
α = 90.00°, β = 90.00°, γ = 90.00°
Last column: nearest neighbours and their distance in Å.
Fractional coordinates of all 10 atoms:
Sn 0.1555 0.3445 0.0000  4 As 2.95
Sn 0.3445 0.8445 0.0000  4 As 2.95
Sn 0.6555 0.1555 0.0000  4 As 2.95
Sn 0.8445 0.6555 0.0000  4 As 2.95
As 0.1061 0.6061 0.5000  1 As 2.58
As 0.3939 0.1061 0.5000  1 As 2.58
As 0.6061 0.8939 0.5000  1 As 2.58
As 0.8939 0.3939 0.5000  1 As 2.58
Br 0.0000 0.0000 0.5000  4 As 3.51, 2 Br 3.72, 8 Sn 3.75
Br 0.5000 0.5000 0.5000  4 As 3.51, 2 Br 3.72, 8 Sn 3.75

Results
total moment	0.00	μB/f.u.
symmetry	No. 127

---

Run three
## Sn2As2Br (PBE)

Data for an optimized crystal structure of Sn2As2Br.

a = 5.9976 Å, b = 5.9976 Å, c = 5.9976 Å
α = 126.22°, β = 126.22°, γ = 79.53°
Last column: nearest neighbours and their distance in Å.
Fractional coordinates of all 5 atoms:
Sn 0.2500 0.7500 0.5000  4 As 2.92
Sn 0.7500 0.2500 0.5000  4 As 2.92
As 0.1324 0.1324 0.0000  1 As 2.44
As 0.8676 0.8676 0.0000  1 As 2.44
Br 0.5000 0.5000 0.0000  2 As 3.39, 8 Sn 3.56

Results
total moment	0.00	μB/f.u.
symmetry	No. 139

---

Run four
## Sn2As2Br (PBE)

Data for an optimized crystal structure of Sn2As2Br.

a = 8.5913 Å, b = 8.5913 Å, c = 3.6971 Å
α = 90.00°, β = 90.00°, γ = 90.00°
Last column: nearest neighbours and their distance in Å.
Fractional coordinates of all 10 atoms:
Sn 0.1615 0.3385 0.0000  4 As 2.98, 2 Br 3.22
Sn 0.3385 0.8385 0.0000  4 As 2.98, 2 Br 3.22
Sn 0.6615 0.1615 0.0000  4 As 2.98, 2 Br 3.22
Sn 0.8385 0.6615 0.0000  4 As 2.98, 2 Br 3.22
As 0.1054 0.6054 0.5000  1 As 2.56
As 0.3946 0.1054 0.5000  1 As 2.56
As 0.6054 0.8946 0.5000  1 As 2.56
As 0.8946 0.3946 0.5000  1 As 2.56
Br 0.0000 0.0000 0.0000  4 Sn 3.22
Br 0.5000 0.5000 0.0000  4 Sn 3.22

Results
total moment	0.00	μB/f.u.
symmetry	No. 127

---

Stability comparison, relative energies in meV per atom: run one 20; run two 183; run three 0; run four 159

---

Run one
## SnAsBr2 (PBE)

Data for an optimized crystal structure of SnAsBr2.

a = 5.3175 Å, b = 5.3175 Å, c = 5.3175 Å
α = 60.00°, β = 60.00°, γ = 60.00°
Last column: nearest neighbours and their distance in Å.
Fractional coordinates of all 4 atoms:
Sn 0.0000 0.0000 0.0000  8 Br 3.26
As 0.5000 0.5000 0.5000  8 Br 3.26
Br 0.2500 0.2500 0.2500  4 As 3.26, 4 Sn 3.26
Br 0.7500 0.7500 0.7500  4 As 3.26, 4 Sn 3.26

Results
total moment	1.92	μB/f.u.
symmetry	No. 225

---

Run two
## SnAsBr2 (PBE)

Data for an optimized crystal structure of SnAsBr2.

a = 10.3476 Å, b = 10.3476 Å, c = 10.3476 Å
α = 153.09°, β = 153.09°, γ = 38.43°
Last column: nearest neighbours and their distance in Å.
Fractional coordinates of all 8 atoms:
Sn 0.0000 0.0000 0.0000  4 Br 3.01
Sn 0.7500 0.2500 0.5000  4 Br 3.01
As 0.2500 0.7500 0.5000  4 Br 2.95
As 0.5000 0.5000 0.0000  4 Br 2.95
Br 0.1399 0.6250 0.0149  2 As 2.95, 2 Sn 3.01
Br 0.3750 0.3899 0.5149  2 As 2.95, 2 Sn 3.01
Br 0.6101 0.1250 0.9851  2 As 2.95, 2 Sn 3.01
Br 0.8750 0.8601 0.4851  2 As 2.95, 2 Sn 3.01

Results
total moment	0.00	μB/f.u.
symmetry	No. 122

---

Run three
## SnAsBr2 (PBE)

Data for an optimized crystal structure of SnAsBr2.

a = 10.3848 Å, b = 10.3848 Å, c = 10.3848 Å
α = 19.29°, β = 19.29°, γ = 19.29°
Last column: nearest neighbours and their distance in Å.
Fractional coordinates of all 4 atoms:
Sn 0.0000 0.0000 0.0000  2 Br 2.88
As 0.5000 0.5000 0.5000  6 Br 2.99
Br 0.0942 0.0942 0.0942  1 Sn 2.88, 3 As 2.99
Br 0.9058 0.9058 0.9058  1 Sn 2.88, 3 As 2.99

Results
total moment	0.00	μB/f.u.
symmetry	No. 166

---

Stability comparison, relative energies in meV per atom: run one 196; run two 0; run three 103

---

Run one
## SrSnAsBr2 (PBE)

Data for an optimized crystal structure of SrSnAsBr2.

a = 5.6542 Å, b = 5.6542 Å, c = 6.2755 Å
α = 90.00°, β = 90.00°, γ = 90.00°
Last column: nearest neighbours and their distance in Å.
Fractional coordinates of all 5 atoms:
Sr 0.0000 0.0000 0.0000  4 Br 2.83, 2 As 3.14
Sn 0.5000 0.5000 0.5000  4 As 4.00, 8 Br 4.22
As 0.0000 0.0000 0.5000  2 Sr 3.14
Br 0.0000 0.5000 0.0000  2 Sr 2.83
Br 0.5000 0.0000 0.0000  2 Sr 2.83

Results
total moment	1.02	μB/f.u.
symmetry	No. 123

---

Run two
## SrSnAsBr2 (PBE)

Data for an optimized crystal structure of SrSnAsBr2.

a = 5.6285 Å, b = 5.6285 Å, c = 5.3538 Å
α = 90.00°, β = 90.00°, γ = 90.00°
Last column: nearest neighbours and their distance in Å.
Fractional coordinates of all 5 atoms:
Sr 0.0000 0.0000 0.0000  8 Br 3.88, 4 As 3.98
Sn 0.5000 0.5000 0.5000  2 As 2.68, 4 Br 2.81
As 0.5000 0.5000 0.0000  2 Sn 2.68
Br 0.0000 0.5000 0.5000  2 Sn 2.81
Br 0.5000 0.0000 0.5000  2 Sn 2.81

Results
total moment	0.00	μB/f.u.
symmetry	No. 123

---

Stability comparison, relative energies in meV per atom: run one 269; run two 0

---

Run one
## ZnSnAsBr2 (PBE)

Data for an optimized crystal structure of ZnSnAsBr2.

a = 5.6497 Å, b = 5.6497 Å, c = 5.5880 Å
α = 90.00°, β = 90.00°, γ = 90.00°
Last column: nearest neighbours and their distance in Å.
Fractional coordinates of all 5 atoms:
Zn 0.0000 0.0000 0.0000  8 Br 3.97, 4 As 3.99
Sn 0.5000 0.5000 0.5000  2 As 2.79, 4 Br 2.82
As 0.5000 0.5000 0.0000  2 Sn 2.79
Br 0.0000 0.5000 0.5000  2 Sn 2.82
Br 0.5000 0.0000 0.5000  2 Sn 2.82

Results
total moment	1.93	μB/f.u.
symmetry	No. 123

---

Run two
## ZnSnAsBr2 (PBE)

Data for an optimized crystal structure of ZnSnAsBr2.

a = 5.0685 Å, b = 5.0685 Å, c = 5.1644 Å
α = 90.00°, β = 90.00°, γ = 90.00°
Last column: nearest neighbours and their distance in Å.
Fractional coordinates of all 5 atoms:
Zn 0.0000 0.0000 0.0000  4 Br 2.53, 2 As 2.58
Sn 0.5000 0.5000 0.5000  4 As 3.58, 8 Br 3.62
As 0.0000 0.0000 0.5000  2 Zn 2.58
Br 0.0000 0.5000 0.0000  2 Zn 2.53
Br 0.5000 0.0000 0.0000  2 Zn 2.53

Results
total moment	0.00	μB/f.u.
symmetry	No. 123

---

Stability comparison, relative energies in meV per atom: run one 161; run two 0

---

Run one
## ZrSnAsBr2 (PBE)

Data for an optimized crystal structure of ZrSnAsBr2.

a = 5.3801 Å, b = 5.3801 Å, c = 5.4634 Å
α = 90.00°, β = 90.00°, γ = 90.00°
Last column: nearest neighbours and their distance in Å.
Fractional coordinates of all 5 atoms:
Zr 0.0000 0.0000 0.0000  4 As 3.80, 8 Br 3.83
Sn 0.5000 0.5000 0.5000  4 Br 2.69, 2 As 2.73
As 0.5000 0.5000 0.0000  2 Sn 2.73
Br 0.0000 0.5000 0.5000  2 Sn 2.69
Br 0.5000 0.0000 0.5000  2 Sn 2.69

Results
total moment	1.65	μB/f.u.
symmetry	No. 123

---

Run two
## ZrSnAsBr2 (PBE)

Data for an optimized crystal structure of ZrSnAsBr2.

a = 5.2471 Å, b = 5.2471 Å, c = 5.4036 Å
α = 90.00°, β = 90.00°, γ = 90.00°
Last column: nearest neighbours and their distance in Å.
Fractional coordinates of all 5 atoms:
Zr 0.0000 0.0000 0.0000  4 Br 2.62, 2 As 2.70
Sn 0.5000 0.5000 0.5000  4 As 3.71, 8 Br 3.77
As 0.0000 0.0000 0.5000  2 Zr 2.70
Br 0.0000 0.5000 0.0000  2 Zr 2.62
Br 0.5000 0.0000 0.0000  2 Zr 2.62

Results
total moment	0.00	μB/f.u.
symmetry	No. 123

---

Stability comparison, relative energies in meV per atom: run one 794; run two 0

---

Run one
## ZrSnAs2Br (PBE)

Data for an optimized crystal structure of ZrSnAs2Br.

a = 5.2563 Å, b = 5.2563 Å, c = 5.2581 Å
α = 90.00°, β = 90.00°, γ = 90.00°
Last column: nearest neighbours and their distance in Å.
Fractional coordinates of all 5 atoms:
Zr 0.0000 0.0000 0.0000  4 As 2.63, 2 Br 2.63
Sn 0.5000 0.5000 0.5000  4 Br 3.72, 8 As 3.72
As 0.0000 0.5000 0.0000  2 Zr 2.63
As 0.5000 0.0000 0.0000  2 Zr 2.63
Br 0.0000 0.0000 0.5000  2 Zr 2.63

Results
total moment	0.00	μB/f.u.
symmetry	No. 123

---

Run two
## ZrSnAs2Br (PBE)

Data for an optimized crystal structure of ZrSnAs2Br.

a = 5.2023 Å, b = 5.2023 Å, c = 5.2706 Å
α = 90.00°, β = 90.00°, γ = 90.00°
Last column: nearest neighbours and their distance in Å.
Fractional coordinates of all 5 atoms:
Zr 0.0000 0.0000 0.0000  4 Br 3.68, 8 As 3.70
Sn 0.5000 0.5000 0.5000  4 As 2.60, 2 Br 2.64
As 0.0000 0.5000 0.5000  2 Sn 2.60
As 0.5000 0.0000 0.5000  2 Sn 2.60
Br 0.5000 0.5000 0.0000  2 Sn 2.64

Results
total moment	1.05	μB/f.u.
symmetry	No. 123

---

Stability comparison, relative energies in meV per atom: run one 0; run two 774

---

Run one
## SrAsBr2 (PBE)

Data for an optimized crystal structure of SrAsBr2.

a = 4.9844 Å, b = 4.9844 Å, c = 4.3614 Å
α = 90.00°, β = 90.00°, γ = 90.00°
Last column: nearest neighbours and their distance in Å.
Fractional coordinates of all 4 atoms:
Sr 0.0000 0.0000 0.0000  8 Br 3.31, 4 As 3.52
As 0.5000 0.5000 0.0000  8 Br 3.31, 4 Sr 3.52
Br 0.0000 0.5000 0.5000  4 As 3.31, 4 Sr 3.31, 4 Br 3.52
Br 0.5000 0.0000 0.5000  4 As 3.31, 4 Sr 3.31, 4 Br 3.52

Results
total moment	0.00	μB/f.u.
symmetry	No. 123

---

Run two
## SrAsBr2 (PBE)

Data for an optimized crystal structure of SrAsBr2.

a = 5.5474 Å, b = 5.5474 Å, c = 5.5474 Å
α = 60.00°, β = 60.00°, γ = 60.00°
Last column: nearest neighbours and their distance in Å.
Fractional coordinates of all 4 atoms:
Sr 0.0000 0.0000 0.0000  4 As 3.40, 4 Br 3.40
As 0.7500 0.7500 0.7500  4 Br 3.40, 4 Sr 3.40
Br 0.2500 0.2500 0.2500  4 Br 3.40, 4 Sr 3.40
Br 0.5000 0.5000 0.5000  4 As 3.40, 4 Br 3.40

Results
total moment	3.01	μB/f.u.
symmetry	No. 216

---

Run three
## SrAsBr2 (PBE)

Data for an optimized crystal structure of SrAsBr2.

a = 7.4381 Å, b = 7.4381 Å, c = 5.4035 Å
α = 92.10°, β = 92.10°, γ = 29.66°
Last column: nearest neighbours and their distance in Å.
Fractional coordinates of all 4 atoms:
Sr 0.0000 0.0000 0.0000  4 Br 3.09, 4 As 3.31
As 0.5000 0.5000 0.5000  2 Br 2.68
Br 0.3491 0.3491 0.7777  1 As 2.68
Br 0.6509 0.6509 0.2223  1 As 2.68

Results
total moment	0.00	μB/f.u.
symmetry	No. 12

---

Stability comparison, relative energies in meV per atom: run one 240; run two 421; run three 0

---

Run one
## SrAsBr2 (PBE)

Data for an optimized crystal structure of SrAsBr2.

a = 10.4257 Å, b = 10.4257 Å, c = 10.4257 Å
α = 151.65°, β = 151.65°, γ = 40.52°
Last column: nearest neighbours and their distance in Å.
Fractional coordinates of all 8 atoms:
Sr 0.0000 0.0000 0.0000  4 Br 3.09
Sr 0.7500 0.2500 0.5000  4 Br 3.09
As 0.2500 0.7500 0.5000  4 Br 2.99
As 0.5000 0.5000 0.0000  4 Br 2.99
Br 0.1490 0.6250 0.0240  2 As 2.99, 2 Sr 3.09
Br 0.3750 0.3990 0.5240  2 As 2.99, 2 Sr 3.09
Br 0.6010 0.1250 0.9760  2 As 2.99, 2 Sr 3.09
Br 0.8750 0.8510 0.4760  2 As 2.99, 2 Sr 3.09

Results
total moment	0.00	μB/f.u.
symmetry	No. 122

---

Run two
## SrAsBr2 (PBE)

Data for an optimized crystal structure of SrAsBr2.

a = 5.8147 Å, b = 5.8147 Å, c = 5.2260 Å
α = 114.12°, β = 114.12°, γ = 105.13°
Last column: nearest neighbours and their distance in Å.
Fractional coordinates of all 4 atoms:
Sr 0.0000 0.0000 0.0000  4 Br 3.01
As 0.5000 0.5000 0.0000  4 Br 3.01
Br 0.0000 0.5000 0.5000  2 As 3.01, 2 Sr 3.01
Br 0.5000 0.0000 0.5000  2 As 3.01, 2 Sr 3.01

Results
total moment	0.15	μB/f.u.
symmetry	No. 12

---

Run three
## SrAsBr2 (PBE)

Data for an optimized crystal structure of SrAsBr2.

a = 3.6722 Å, b = 3.6722 Å, c = 10.6030 Å
α = 90.00°, β = 90.00°, γ = 90.00°
Last column: nearest neighbours and their distance in Å.
Fractional coordinates of all 4 atoms:
Sr 0.0000 0.0000 0.0000  8 Br 3.15
As 0.0000 0.0000 0.5000  4 As 3.67
Br 0.5000 0.5000 0.1678  4 Sr 3.15
Br 0.5000 0.5000 0.8322  4 Sr 3.15

Results
total moment	1.25	μB/f.u.
symmetry	No. 123

---

Stability comparison, relative energies in meV per atom: run one 89; run two 0; run three 66